one:
First-principles (GGA-PBE) data for a relaxed structure of RbNbB2, as listed in the Alexandria database.

a b c (Å): 6.373 6.373 6.373
angles (deg): 90.00 90.00 90.00
Space group Fm-3m (No. 225)
Inequivalent atoms, fractional coordinates:
1 Rb 0.000 0.000 0.000
2 Nb 0.000 0.000 0.500
3 B 0.250 0.250 0.250

=====

two:
First-principles (GGA-PBE) data for a relaxed structure of RbNbB2, as listed in the Alexandria database.

a b c (Å): 6.853 6.853 8.616
angles (deg): 90.00 90.00 90.00
Space group I-42d (No. 122)
Inequivalent atoms, fractional coordinates:
1 Rb 0.000 0.000 0.000
2 Nb 0.000 0.000 0.500
3 B 0.107 0.250 0.625

=====

Stability, lowest: one

=====

one:
First-principles (GGA-PBE) data for a relaxed structure of NbReB2, as listed in the Alexandria database.

a b c (Å): 4.780 4.780 10.231
angles (deg): 90.00 90.00 90.00
Space group I-42d (No. 122)
Inequivalent atoms, fractional coordinates:
1 Nb 0.000 0.000 0.000
2 Re 0.000 0.000 0.500
3 B 0.217 0.250 0.625

=====

two:
First-principles (GGA-PBE) data for a relaxed structure of NbReB2, as listed in the Alexandria database.

a b c (Å): 5.633 5.633 5.633
angles (deg): 90.00 90.00 90.00
Space group Fm-3m (No. 225)
Inequivalent atoms, fractional coordinates:
1 Nb 0.000 0.000 0.000
2 Re 0.000 0.000 0.500
3 B 0.250 0.250 0.250

=====

three:
First-principles (GGA-PBE) data for a relaxed structure of NbReB2, as listed in the Alexandria database.

a b c (Å): 3.229 3.101 4.607
angles (deg): 90.00 110.68 90.00
Space group Pm (No. 6)
Inequivalent atoms, fractional coordinates:
1 Nb 0.000 0.000 0.000
2 Re 0.712 0.500 0.425
3 B 0.294 0.000 0.590
4 B 0.414 0.500 0.825

=====

four:
First-principles (GGA-PBE) data for a relaxed structure of NbReB2, as listed in the Alexandria database.

a b c (Å): 3.2067 3.2067 15.5062
angles (deg): 90.00 90.00 120.00
Space group R-3m (No. 166, hexagonal axes)
Inequivalent atoms, fractional coordinates:
1 Nb 0.0000 0.0000 0.0000
2 Re 0.0000 0.0000 0.5000
3 B 0.0000 0.0000 0.2453

=====

Stability, lowest: one

=====

one:
First-principles (GGA-PBE) data for a relaxed structure of Nb3ReB, as listed in the Alexandria database.

a b c (Å): 4.336 4.336 4.336
angles (deg): 90.00 90.00 90.00
Space group Pm-3m (No. 221)
Inequivalent atoms, fractional coordinates:
1 Nb 0.000 0.000 0.500
2 Re 0.500 0.500 0.500
3 B 0.000 0.000 0.000

=====

two:
First-principles (GGA-PBE) data for a relaxed structure of Nb3ReB, as listed in the Alexandria database.

a b c (Å): 4.818 4.818 4.818
angles (deg): 90.00 90.00 90.00
Space group Pm-3m (No. 221)
Inequivalent atoms, fractional coordinates:
1 Nb 0.000 0.000 0.500
2 Re 0.000 0.000 0.000
3 B 0.500 0.500 0.500

=====

Stability, lowest: two

=====

one:
First-principles (GGA-PBE) data for a relaxed structure of NbRe3B, as listed in the Alexandria database.

a b c (Å): 8.358 3.073 10.904
angles (deg): 90.00 90.00 90.00
Space group Pnma (No. 62)
Inequivalent atoms, fractional coordinates:
1 Nb 0.176 0.250 0.004
2 Re 0.058 0.250 0.410
3 Re 0.082 0.750 0.200
4 Re 0.173 0.750 0.778
5 B 0.144 0.250 0.620

=====

two:
First-principles (GGA-PBE) data for a relaxed structure of NbRe3B, as listed in the Alexandria database.

a b c (Å): 4.775 4.775 4.775
angles (deg): 90.00 90.00 90.00
Space group Pm-3m (No. 221)
Inequivalent atoms, fractional coordinates:
1 Nb 0.000 0.000 0.000
2 Re 0.000 0.000 0.500
3 B 0.500 0.500 0.500

=====

Stability, lowest: two

=====

one:
First-principles (GGA-PBE) data for a relaxed structure of Nb3BRu, as listed in the Alexandria database.

a b c (Å): 4.327 4.327 4.327
angles (deg): 90.00 90.00 90.00
Space group Pm-3m (No. 221)
Inequivalent atoms, fractional coordinates:
1 Nb 0.000 0.000 0.500
2 B 0.000 0.000 0.000
3 Ru 0.500 0.500 0.500

=====

two:
First-principles (GGA-PBE) data for a relaxed structure of Nb3BRu, as listed in the Alexandria database.

a b c (Å): 4.752 4.752 4.752
angles (deg): 90.00 90.00 90.00
Space group Pm-3m (No. 221)
Inequivalent atoms, fractional coordinates:
1 Nb 0.000 0.000 0.500
2 B 0.500 0.500 0.500
3 Ru 0.000 0.000 0.000

=====

Stability, lowest: two

=====

one:
First-principles (GGA-PBE) data for a relaxed structure of NbB3Ru, as listed in the Alexandria database.

a b c (Å): 3.370 18.519 3.070
angles (deg): 90.00 90.00 90.00
Space group Cmcm (No. 63)
Inequivalent atoms, fractional coordinates:
1 Nb 0.000 0.073 0.250
2 B 0.000 0.322 0.750
3 B 0.000 0.375 0.250
4 B 0.000 0.475 0.250
5 Ru 0.000 0.201 0.750

=====

two:
First-principles (GGA-PBE) data for a relaxed structure of NbB3Ru, as listed in the Alexandria database.

a b c (Å): 3.947 3.947 3.947
angles (deg): 90.00 90.00 90.00
Space group Pm-3m (No. 221)
Inequivalent atoms, fractional coordinates:
1 Nb 0.000 0.000 0.000
2 B 0.000 0.500 0.500
3 Ru 0.500 0.500 0.500

=====

three:
First-principles (GGA-PBE) data for a relaxed structure of NbB3Ru, as listed in the Alexandria database.

a b c (Å): 4.082 4.082 4.082
angles (deg): 90.00 90.00 90.00
Space group Pm-3m (No. 221)
Inequivalent atoms, fractional coordinates:
1 Nb 0.000 0.000 0.000
2 B 0.000 0.000 0.500
3 Ru 0.500 0.500 0.500

=====

Stability, lowest: three

=====

one:
First-principles (GGA-PBE) data for a relaxed structure of NbB2S2, as listed in the Alexandria database.

a b c (Å): 4.354 4.354 6.367
angles (deg): 90.00 90.00 90.00
Space group I4/mmm (No. 139)
Inequivalent atoms, fractional coordinates:
1 Nb 0.000 0.000 0.000
2 B 0.000 0.000 0.370
3 S 0.000 0.500 0.250

=====

two:
First-principles (GGA-PBE) data for a relaxed structure of NbB2S2, as listed in the Alexandria database.

a b c (Å): 6.448 6.448 2.986
angles (deg): 90.00 90.00 90.00
Space group P4/mbm (No. 127)
Inequivalent atoms, fractional coordinates:
1 Nb 0.000 0.000 0.000
2 B 0.091 0.409 0.000
3 S 0.215 0.285 0.500

=====

Stability, lowest: one

=====

one:
First-principles (GGA-PBE) data for a relaxed structure of NbBS3, as listed in the Alexandria database.

a b c (Å): 3.136 19.404 6.719
angles (deg): 90.00 90.00 90.00
Space group Cmc2_1 (No. 36)
Inequivalent atoms, fractional coordinates:
1 Nb 0.000 0.165 0.000
2 B 0.000 0.350 0.208
3 S 0.000 0.097 0.671
4 S 0.000 0.259 0.271
5 S 0.000 0.401 0.689

=====

two:
First-principles (GGA-PBE) data for a relaxed structure of NbBS3, as listed in the Alexandria database.

a b c (Å): 4.807 4.807 4.807
angles (deg): 90.00 90.00 90.00
Space group Pm-3m (No. 221)
Inequivalent atoms, fractional coordinates:
1 Nb 0.000 0.000 0.000
2 B 0.500 0.500 0.500
3 S 0.000 0.000 0.500

=====

three:
First-principles (GGA-PBE) data for a relaxed structure of NbBS3, as listed in the Alexandria database.

a b c (Å): 4.135 4.135 4.135
angles (deg): 90.00 90.00 90.00
Space group Pm-3m (No. 221)
Inequivalent atoms, fractional coordinates:
1 Nb 0.000 0.000 0.000
2 B 0.500 0.500 0.500
3 S 0.000 0.500 0.500

=====

Stability, lowest: two

=====

one:
First-principles (GGA-PBE) data for a relaxed structure of ScNbB3, as listed in the Alexandria database.

a b c (Å): 4.186 4.186 4.186
angles (deg): 90.00 90.00 90.00
Space group Pm-3m (No. 221)
Inequivalent atoms, fractional coordinates:
1 Sc 0.000 0.000 0.000
2 Nb 0.500 0.500 0.500
3 B 0.000 0.500 0.500

=====

two:
First-principles (GGA-PBE) data for a relaxed structure of ScNbB3, as listed in the Alexandria database.

a b c (Å): 4.026 4.026 4.026
angles (deg): 90.00 90.00 90.00
Space group Pm-3m (No. 221)
Inequivalent atoms, fractional coordinates:
1 Sc 0.000 0.000 0.000
2 Nb 0.500 0.500 0.500
3 B 0.000 0.000 0.500

=====

three:
First-principles (GGA-PBE) data for a relaxed structure of ScNbB3, as listed in the Alexandria database.

a b c (Å): 3.428 19.709 3.135
angles (deg): 90.00 90.00 90.00
Space group Cmcm (No. 63)
Inequivalent atoms, fractional coordinates:
1 Sc 0.000 0.070 0.250
2 Nb 0.000 0.203 0.750
3 B 0.000 0.335 0.750
4 B 0.000 0.385 0.250
5 B 0.000 0.477 0.250

=====

Stability, lowest: two

=====

one:
First-principles (GGA-PBE) data for a relaxed structure of NbB3Se, as listed in the Alexandria database.

a b c (Å): 4.366 4.366 4.366
angles (deg): 90.00 90.00 90.00
Space group Pm-3m (No. 221)
Inequivalent atoms, fractional coordinates:
1 Nb 0.000 0.000 0.000
2 B 0.000 0.000 0.500
3 Se 0.500 0.500 0.500

=====

two:
First-principles (GGA-PBE) data for a relaxed structure of NbB3Se, as listed in the Alexandria database.

a b c (Å): 4.015 4.015 4.015
angles (deg): 90.00 90.00 90.00
Space group Pm-3m (No. 221)
Inequivalent atoms, fractional coordinates:
1 Nb 0.000 0.000 0.000
2 B 0.000 0.500 0.500
3 Se 0.500 0.500 0.500

=====

Stability, lowest: two

=====

one:
First-principles (GGA-PBE) data for a relaxed structure of NbSi3B, as listed in the Alexandria database.

a b c (Å): 4.127 4.127 4.127
angles (deg): 90.00 90.00 90.00
Space group Pm-3m (No. 221)
Inequivalent atoms, fractional coordinates:
1 Nb 0.000 0.000 0.000
2 Si 0.000 0.500 0.500
3 B 0.500 0.500 0.500

=====

two:
First-principles (GGA-PBE) data for a relaxed structure of NbSi3B, as listed in the Alexandria database.

a b c (Å): 4.859 4.859 4.859
angles (deg): 90.00 90.00 90.00
Space group Pm-3m (No. 221)
Inequivalent atoms, fractional coordinates:
1 Nb 0.000 0.000 0.000
2 Si 0.000 0.000 0.500
3 B 0.500 0.500 0.500

=====

Stability, lowest: two